ZnRh5W4 | GGA-PBE | optimized geometry

Properties
**V**: 147.83 Å³ per cell
**Fermi-level density of states**: 6.11 states/eV per cell
**Space group**: P4/mmm (123)
**Final energy**: -0.677 Ry per atom

Structure (CIF):
```
data_ZnRh5W4
_space_group_name_H-M_alt 'P 1'
_space_group_IT_number 1
_space_group_name_Hall 'P 1'
_cell_length_a 2.781
_cell_length_b 2.781
_cell_length_c 19.108
_cell_angle_alpha 90.00
_cell_angle_beta 90.00
_cell_angle_gamma 90.00
loop_
_atom_site_label
_atom_site_type_symbol
_atom_site_fract_x
_atom_site_fract_y
_atom_site_fract_z
Rh1 Rh 0.500 0.500 0.500
Rh2 Rh 0.500 0.500 0.295
Rh3 Rh 0.500 0.500 0.095
W1 W 0.000 0.000 0.808
Rh4 Rh 0.500 0.500 0.905
W2 W 0.000 0.000 0.192
Zn1 Zn 0.000 0.000 0.000
W3 W 0.000 0.000 0.603
W4 W 0.000 0.000 0.397
Rh5 Rh 0.500 0.500 0.705
```

ZnRhW2 | GGA-PBE | optimized geometry

Properties
**V**: 61.18 Å³ per cell
**Fermi-level density of states**: 3.47 states/eV per cell
**Space group**: R-3m (166)
**Final energy**: -0.623 Ry per atom

Structure (CIF):
```
data_ZnRhW2
_space_group_name_H-M_alt 'P 1'
_space_group_IT_number 1
_space_group_name_Hall 'P 1'
_cell_length_a 9.263
_cell_length_b 9.263
_cell_length_c 9.263
_cell_angle_alpha 17.28
_cell_angle_beta 17.28
_cell_angle_gamma 17.28
loop_
_atom_site_label
_atom_site_type_symbol
_atom_site_fract_x
_atom_site_fract_y
_atom_site_fract_z
Rh1 Rh 0.750 0.750 0.750
Zn1 Zn 0.250 0.250 0.250
W1 W 0.499 0.499 0.499
W2 W 0.001 0.001 0.001
```

ZrRhW | GGA-PBE | optimized geometry

Properties
**V**: 207.92 Å³ per cell
**Fermi-level density of states**: 10.65 states/eV per cell
**Space group**: C2/c (15)
**Offset from the most stable computed form**: 0.102 eV per atom

Structure (CIF):
```
data_ZrRhW
_space_group_name_H-M_alt 'P 1'
_space_group_IT_number 1
_space_group_name_Hall 'P 1'
_cell_length_a 5.409
_cell_length_b 14.348
_cell_length_c 2.857
_cell_angle_alpha 90.00
_cell_angle_beta 110.33
_cell_angle_gamma 90.00
loop_
_atom_site_label
_atom_site_type_symbol
_atom_site_fract_x
_atom_site_fract_y
_atom_site_fract_z
Rh1 Rh 0.250 0.101 0.750
Rh2 Rh 0.750 0.899 0.250
Rh3 Rh 0.750 0.399 0.750
Zr1 Zr 0.250 0.425 0.750
W1 W 0.500 0.750 0.750
Zr2 Zr 0.250 0.925 0.250
Zr3 Zr 0.750 0.575 0.250
W2 W 0.000 0.250 0.250
Zr4 Zr 0.750 0.075 0.750
Rh4 Rh 0.250 0.601 0.250
W3 W 0.500 0.250 0.250
W4 W 0.000 0.750 0.750
```

ZrRhW2 | GGA-PBE | optimized geometry

Properties
**V**: 66.99 Å³ per cell
**Fermi-level density of states**: 4.89 states/eV per cell
**Space group**: Fm-3m (225)
**Offset from the most stable computed form**: 0.387 eV per atom

Structure (CIF):
```
data_ZrRhW2
_space_group_name_H-M_alt 'P 1'
_space_group_IT_number 1
_space_group_name_Hall 'P 1'
_cell_length_a 4.559
_cell_length_b 4.559
_cell_length_c 4.559
_cell_angle_alpha 60.00
_cell_angle_beta 60.00
_cell_angle_gamma 60.00
loop_
_atom_site_label
_atom_site_type_symbol
_atom_site_fract_x
_atom_site_fract_y
_atom_site_fract_z
Zr1 Zr 0.000 0.000 0.000
Rh1 Rh 0.500 0.500 0.500
W1 W 0.750 0.750 0.750
W2 W 0.250 0.250 0.250
```

ZrRhW2 | GGA-PBE | optimized geometry

Properties
**V**: 67.60 Å³ per cell
**Fermi-level density of states**: 3.14 states/eV per cell
**Space group**: P2/m (10)
**Offset from the most stable computed form**: 0.156 eV per atom

Structure (CIF):
```
data_ZrRhW2
_space_group_name_H-M_alt 'P 1'
_space_group_IT_number 1
_space_group_name_Hall 'P 1'
_cell_length_a 4.763
_cell_length_b 2.798
_cell_length_c 5.155
_cell_angle_alpha 79.72
_cell_angle_beta 90.00
_cell_angle_gamma 90.00
loop_
_atom_site_label
_atom_site_type_symbol
_atom_site_fract_x
_atom_site_fract_y
_atom_site_fract_z
Zr1 Zr 0.500 0.250 0.250
W1 W 0.000 0.508 0.498
W2 W 0.000 0.992 0.002
Rh1 Rh 0.500 0.750 0.750
```

ZrRhW | GGA-PBE | optimized geometry

Properties
**V**: 210.50 Å³ per cell
**Fermi-level density of states**: 9.32 states/eV per cell
**Space group**: Cmmm (65)
**Offset from the most stable computed form**: 0.063 eV per atom

Structure (CIF):
```
data_ZrRhW
_space_group_name_H-M_alt 'P 1'
_space_group_IT_number 1
_space_group_name_Hall 'P 1'
_cell_length_a 15.042
_cell_length_b 4.538
_cell_length_c 3.084
_cell_angle_alpha 90.00
_cell_angle_beta 90.00
_cell_angle_gamma 90.00
loop_
_atom_site_label
_atom_site_type_symbol
_atom_site_fract_x
_atom_site_fract_y
_atom_site_fract_z
Rh1 Rh 0.352 0.500 0.000
Rh2 Rh 0.148 0.000 0.000
Zr1 Zr 0.170 0.500 0.500
W1 W 0.000 0.500 0.000
W2 W 0.500 0.500 0.500
Zr2 Zr 0.670 0.000 0.500
Zr3 Zr 0.330 0.000 0.500
Zr4 Zr 0.830 0.500 0.500
Rh3 Rh 0.852 0.000 0.000
Rh4 Rh 0.648 0.500 0.000
W3 W 0.500 0.000 0.000
W4 W 0.000 0.000 0.500
```

ZrRhW | GGA-PBE | optimized geometry

Properties
**V**: 213.09 Å³ per cell
**Fermi-level density of states**: 8.04 states/eV per cell
**Space group**: Immm (71)
**Offset from the most stable computed form**: 0.036 eV per atom

Structure (CIF):
```
data_ZrRhW
_space_group_name_H-M_alt 'P 1'
_space_group_IT_number 1
_space_group_name_Hall 'P 1'
_cell_length_a 15.282
_cell_length_b 4.441
_cell_length_c 3.140
_cell_angle_alpha 90.00
_cell_angle_beta 90.00
_cell_angle_gamma 90.00
loop_
_atom_site_label
_atom_site_type_symbol
_atom_site_fract_x
_atom_site_fract_y
_atom_site_fract_z
Rh1 Rh 0.358 0.500 0.000
Rh2 Rh 0.642 0.500 0.000
W1 W 0.000 0.000 0.000
W2 W 0.000 0.500 0.500
Zr1 Zr 0.673 0.000 0.500
Zr2 Zr 0.327 0.000 0.500
Zr3 Zr 0.827 0.500 0.000
W3 W 0.500 0.500 0.500
Rh3 Rh 0.858 0.000 0.500
Zr4 Zr 0.173 0.500 0.000
Rh4 Rh 0.142 0.000 0.500
W4 W 0.500 0.000 0.000
```

ZrRhW2 | GGA-PBE | optimized geometry

Properties
**V**: 67.93 Å³ per cell
**Fermi-level density of states**: 2.88 states/eV per cell
**Space group**: Cmmm (65)
**Offset from the most stable computed form**: 0.196 eV per atom

Structure (CIF):
```
data_ZrRhW2
_space_group_name_H-M_alt 'P 1'
_space_group_IT_number 1
_space_group_name_Hall 'P 1'
_cell_length_a 2.791
_cell_length_b 2.791
_cell_length_c 8.729
_cell_angle_alpha 90.00
_cell_angle_beta 90.00
_cell_angle_gamma 92.11
loop_
_atom_site_label
_atom_site_type_symbol
_atom_site_fract_x
_atom_site_fract_y
_atom_site_fract_z
Zr1 Zr 0.500 0.500 0.250
W1 W 0.000 0.000 0.973
Rh1 Rh 0.500 0.500 0.750
W2 W 0.000 0.000 0.527
```

ZrRhW | GGA-PBE | optimized geometry

Properties
**V**: 208.41 Å³ per cell
**Fermi-level density of states**: 11.09 states/eV per cell
**Space group**: C2/m (12)
**Offset from the most stable computed form**: 0.089 eV per atom

Structure (CIF):
```
data_ZrRhW
_space_group_name_H-M_alt 'P 1'
_space_group_IT_number 1
_space_group_name_Hall 'P 1'
_cell_length_a 2.859
_cell_length_b 14.272
_cell_length_c 5.222
_cell_angle_alpha 90.00
_cell_angle_beta 102.05
_cell_angle_gamma 90.00
loop_
_atom_site_label
_atom_site_type_symbol
_atom_site_fract_x
_atom_site_fract_y
_atom_site_fract_z
W1 W 0.248 0.500 0.767
Zr1 Zr 0.000 0.680 0.000
Rh1 Rh 0.500 0.358 0.500
Rh2 Rh 0.500 0.642 0.500
W2 W 0.248 0.000 0.267
Zr2 Zr 0.000 0.320 0.000
Zr3 Zr 0.000 0.820 0.500
W3 W 0.752 0.000 0.733
W4 W 0.752 0.500 0.233
Rh3 Rh 0.500 0.142 0.000
Zr4 Zr 0.000 0.180 0.500
Rh4 Rh 0.500 0.858 0.000
```

ZrRhW | GGA-PBE | optimized geometry

Properties
**V**: 106.95 Å³ per cell
**Fermi-level density of states**: 3.28 states/eV per cell
**Space group**: Pmmn (59)
**Offset from the most stable computed form**: 0.000 eV per atom

Structure (CIF):
```
data_ZrRhW
_space_group_name_H-M_alt 'P 1'
_space_group_IT_number 1
_space_group_name_Hall 'P 1'
_cell_length_a 3.183
_cell_length_b 7.677
_cell_length_c 4.377
_cell_angle_alpha 90.00
_cell_angle_beta 90.00
_cell_angle_gamma 90.00
loop_
_atom_site_label
_atom_site_type_symbol
_atom_site_fract_x
_atom_site_fract_y
_atom_site_fract_z
Rh1 Rh 0.000 0.777 0.500
Zr1 Zr 0.000 0.150 0.500
W1 W 0.000 0.501 0.000
Rh2 Rh 0.500 0.223 0.000
W2 W 0.500 0.499 0.500
Zr2 Zr 0.500 0.850 0.000
```

ZrRhW | GGA-PBE | optimized geometry

Properties
**V**: 60.22 Å³ per cell
**Fermi-level density of states**: 4.61 states/eV per cell
**Space group**: F-43m (216)
**Offset from the most stable computed form**: 0.691 eV per atom

Structure (CIF):
```
data_ZrRhW
_space_group_name_H-M_alt 'P 1'
_space_group_IT_number 1
_space_group_name_Hall 'P 1'
_cell_length_a 4.400
_cell_length_b 4.400
_cell_length_c 4.400
_cell_angle_alpha 60.00
_cell_angle_beta 60.00
_cell_angle_gamma 60.00
loop_
_atom_site_label
_atom_site_type_symbol
_atom_site_fract_x
_atom_site_fract_y
_atom_site_fract_z
W1 W 0.000 0.000 0.000
Zr1 Zr 0.500 0.500 0.500
Rh1 Rh 0.750 0.750 0.750
```

ZrRhW2 | GGA-PBE | optimized geometry

Properties
**V**: 68.50 Å³ per cell
**Fermi-level density of states**: 2.57 states/eV per cell
**Space group**: C2/m (12)
**Offset from the most stable computed form**: 0.125 eV per atom

Structure (CIF):
```
data_ZrRhW2
_space_group_name_H-M_alt 'P 1'
_space_group_IT_number 1
_space_group_name_Hall 'P 1'
_cell_length_a 5.303
_cell_length_b 5.303
_cell_length_c 4.711
_cell_angle_alpha 75.19
_cell_angle_beta 75.19
_cell_angle_gamma 32.45
loop_
_atom_site_label
_atom_site_type_symbol
_atom_site_fract_x
_atom_site_fract_y
_atom_site_fract_z
W1 W 0.487 0.487 0.518
W2 W 0.013 0.013 0.982
Rh1 Rh 0.750 0.750 0.750
Zr1 Zr 0.250 0.250 0.250
```